The following is a DFT calculation (PBE) of CuIrCl2 after structural relaxation.

- Excess energy over the best structure of this formula in the dataset: 211 meV/atom
- M_tot: 0.00 μB per cell
- Space-group type: No. 35
- Final energy: -3.918 eV/atom
- Uncorrected formation energy: 23.6 kJ per mole of atoms

Cell lengths 3.1531, 3.1531, 9.2811 Å; angles 90.00, 90.00, 123.63 degrees
Element x y z (fractional)
Ir 0.5000 0.5000 0.7283
Cu 0.0000 0.0000 0.5100
Cl 0.0000 0.0000 0.9320
Cl 0.5000 0.5000 0.3297


The following is a DFT calculation (PBE) of CuIr3Cl after structural relaxation.

- Excess energy over the best structure of this formula in the dataset: 0 meV/atom
- M_tot: 0.00 μB per cell
- Space-group type: No. 221
- Final energy: -4.888 eV/atom
- Uncorrected formation energy: 156.1 kJ per mole of atoms

Cell lengths 4.3905, 4.3905, 4.3905 Å; angles 90.00, 90.00, 90.00 degrees
Element x y z (fractional)
Ir 0.0000 0.5000 0.0000
Ir 0.0000 0.0000 0.5000
Ir 0.5000 0.0000 0.0000
Cu 0.5000 0.5000 0.5000
Cl 0.0000 0.0000 0.0000


The following is a DFT calculation (PBE) of Cu2IrCl6 after structural relaxation.

- Excess energy over the best structure of this formula in the dataset: 0 meV/atom
- M_tot: 0.00 μB per cell
- Space-group type: No. 15
- Final energy: -3.598 eV/atom
- Uncorrected formation energy: -45.6 kJ per mole of atoms

Cell lengths 6.2275, 8.7332, 8.7332 Å; angles 77.71, 85.38, 85.38 degrees
Element x y z (fractional)
Cu 0.2414 0.5211 0.6902
Cu 0.2586 0.3098 0.4789
Cu 0.7586 0.4789 0.3098
Cu 0.7414 0.6902 0.5211
Ir 0.2500 0.0811 0.9189
Ir 0.7500 0.9189 0.0811
Cl 0.3836 0.7195 0.5323
Cl 0.1164 0.4677 0.2805
Cl 0.6164 0.2805 0.4677
Cl 0.8836 0.5323 0.7195
Cl 0.8800 0.8748 0.3330
Cl 0.6200 0.6670 0.1252
Cl 0.1200 0.1252 0.6670
Cl 0.3800 0.3330 0.8748
Cl 0.0926 0.8338 0.9771
Cl 0.4074 0.0229 0.1662
Cl 0.9074 0.1662 0.0229
Cl 0.5926 0.9771 0.8338


The following is a DFT calculation (PBE) of Cu2IrCl after structural relaxation.

- Excess energy over the best structure of this formula in the dataset: 0 meV/atom
- M_tot: 0.00 μB per cell
- Space-group type: No. 10
- Final energy: -4.511 eV/atom
- Uncorrected formation energy: 20.6 kJ per mole of atoms

Cell lengths 2.8802, 2.9261, 7.1771 Å; angles 90.08, 90.00, 90.00 degrees
Element x y z (fractional)
Ir 0.5000 0.2500 0.2500
Cu 0.0000 0.7492 0.0208
Cu 0.0000 0.7508 0.4792
Cl 0.5000 0.7500 0.7500


Question: Which of these has the highest final energy?
Answer: Cu2IrCl6